(1)
# Ca2LaW

An optimized crystal structure of Ca2LaW (PBE-GGA, Alexandria via LeMat-Bulk).

Cell: 4.6276 4.6276 5.1935 Å, 90.00 90.00 90.00°
With the nearest neighbours (Å) after each atom.
Atoms (fractional coordinates):
Ca: 0.0000 0.5000 0.0000  4 Ca 3.27, 4 La 3.48, 4 W 3.48
Ca: 0.5000 0.0000 0.0000  4 Ca 3.27, 4 La 3.48, 4 W 3.48
La: 0.0000 0.0000 0.5000  4 W 3.27, 8 Ca 3.48
W: 0.5000 0.5000 0.5000  4 La 3.27, 8 Ca 3.48

Summary:
SG: No. 123
excess energy over the best structure of this formula in the dataset: 192.0 meV per atom
energy of formation: 815 meV per atom

***

(2)
# Ca2LaW

An optimized crystal structure of Ca2LaW (PBE-GGA, Alexandria via LeMat-Bulk).

Cell: 6.7048 6.7048 3.1899 Å, 101.05 101.05 122.63°
With the nearest neighbours (Å) after each atom.
Atoms (fractional coordinates):
Ca: 0.0000 0.5000 0.0000  6 Ca 3.19-3.51, 2 La 3.43, 2 W 3.43
Ca: 0.5000 0.0000 0.0000  6 Ca 3.19-3.51, 2 La 3.43, 2 W 3.43
La: 0.0000 0.0000 0.5000  2 La 3.19, 4 W 3.22-3.51, 4 Ca 3.43
W: 0.5000 0.5000 0.5000  2 W 3.19, 4 La 3.22-3.51, 4 Ca 3.43

Summary:
SG: No. 12
excess energy over the best structure of this formula in the dataset: 242.3 meV per atom
energy of formation: 865 meV per atom

***

(3)
# CaLa2W

An optimized crystal structure of CaLa2W (PBE-GGA, Alexandria via LeMat-Bulk).

Cell: 3.5938 3.5938 9.8294 Å, 90.00 90.00 90.16°
With the nearest neighbours (Å) after each atom.
Atoms (fractional coordinates):
Ca: 0.0000 0.0000 0.0000  4 Ca 3.59, 8 La 4.01-4.02
La: 0.5000 0.5000 0.3165  4 W 3.11-3.12
La: 0.5000 0.5000 0.6835  4 W 3.11-3.12
W: 0.0000 0.0000 0.5000  8 La 3.11-3.12

Summary:
SG: No. 65
excess energy over the best structure of this formula in the dataset: 0.0 meV per atom
energy of formation: 423 meV per atom